## NaZnCr2F6 (PBE with a Hubbard U)

Data for a relaxed structure of NaZnCr2F6.

Values from the calculation:
crystal system = triclinic
SG = P1 (1)
calculated total energy = -51.48 eV/f.u.
D(E_F) = 2.05 states/eV per cell

Lattice parameters (Å, degrees): 5.6906 5.7244 5.8267 95.07 115.80 117.68
Fractional coordinates of all 10 atoms:
Na1 0.0000 0.0000 0.0000
Zn1 0.9999 0.5268 0.5355
Cr1 0.4401 0.2243 0.7130
Cr2 0.4450 0.7249 0.2103
F1 0.2955 0.4802 0.4136
F2 0.4170 0.0284 0.3865
F3 0.4259 0.3932 0.0230
F4 0.5448 0.9182 0.9579
F5 0.8954 0.5388 0.8759
F6 0.9824 0.9027 0.5542